FeSb2 at its PBEsol-relaxed geometry. Source: Alexandria via LeMat-Bulk, functional meta-GGA SCAN.

It has space group Fm-3m (No. 225), with a = 6.1660 Å, b = 6.1660 Å, c = 6.1660 Å, α = 90.00°, β = 90.00° and γ = 90.00°. Symmetry generates all atoms from Fe at (0.0000, 0.0000, 0.0000) and Sb at (0.2500, 0.2500, 0.2500).

The total moment is 0.000 μB per atom. The calculation puts the formation energy without anion corrections at 0.2341 eV per atom. The value obtained for the density of states at the Fermi level is 6.1 states/eV per cell. The volume comes out at 234 Å³/cell.